(1)
DFT (PBE) results for a relaxed structure of CaGe2Pt2.

Summary:
Theoretical density, g/cm³: 10.25
Energy of formation, eV per atom: -0.438
Uncorrected energy, eV per atom: -5.1019
Calculated volume, Å³ per cell: 186.53
Crystal system: tetragonal

The structure in POSCAR format:
```
CaGe2Pt2
1.0
7.633 0.000 0.000
0.000 7.633 0.000
0.000 0.000 3.202
Ge Ca Pt
4 2 4
direct
0.155 0.655 0.500 Ge
0.655 0.845 0.500 Ge
0.845 0.345 0.500 Ge
0.345 0.155 0.500 Ge
0.000 0.000 0.000 Ca
0.500 0.500 0.000 Ca
0.367 0.867 0.000 Pt
0.867 0.633 0.000 Pt
0.633 0.133 0.000 Pt
0.133 0.367 0.000 Pt
```

=====

(2)
DFT (PBE) results for a relaxed structure of Ca2Ge2Pt.

Summary:
Theoretical density, g/cm³: 6.57
Energy of formation, eV per atom: -0.767
Uncorrected energy, eV per atom: -4.6224
Calculated volume, Å³ per cell: 212.64
Crystal system: tetragonal

The structure in POSCAR format:
```
Ca2Ge2Pt
1.0
6.755 0.000 0.000
0.000 6.755 0.000
0.000 0.000 4.661
Ge Ca Pt
4 4 2
direct
0.363 0.863 0.000 Ge
0.863 0.637 0.000 Ge
0.637 0.137 0.000 Ge
0.137 0.363 0.000 Ge
0.171 0.671 0.500 Ca
0.671 0.829 0.500 Ca
0.829 0.329 0.500 Ca
0.329 0.171 0.500 Ca
0.000 0.000 0.000 Pt
0.500 0.500 0.000 Pt
```

=====

(3)
DFT (PBE) results for a relaxed structure of CaGePt.

Summary:
Theoretical density, g/cm³: 8.45
Energy of formation, eV per atom: -0.854
Uncorrected energy, eV per atom: -5.0742
Calculated volume, Å³ per cell: 362.88
Crystal system: monoclinic

The structure in POSCAR format:
```
CaGePt
1.0
4.285 0.000 0.000
0.000 7.196 0.039
0.000 0.050 11.768
Ca Ge Pt
6 6 6
direct
0.750 0.501 0.370 Ca
0.250 0.994 0.695 Ca
0.750 0.006 0.305 Ca
0.750 0.649 0.072 Ca
0.250 0.499 0.630 Ca
0.250 0.351 0.928 Ca
0.250 0.980 0.092 Ge
0.250 0.821 0.450 Ge
0.750 0.653 0.791 Ge
0.750 0.179 0.550 Ge
0.250 0.347 0.209 Ge
0.750 0.020 0.908 Ge
0.250 0.790 0.900 Pt
0.750 0.287 0.759 Pt
0.750 0.794 0.563 Pt
0.750 0.210 0.100 Pt
0.250 0.206 0.437 Pt
0.250 0.713 0.241 Pt
```

=====

(4)
DFT (PBE) results for a relaxed structure of Ca2Ge2Pt.

Summary:
Theoretical density, g/cm³: 6.39
Energy of formation, eV per atom: -0.738
Uncorrected energy, eV per atom: -4.5941
Calculated volume, Å³ per cell: 218.52
Crystal system: monoclinic

The structure in POSCAR format:
```
Ca2Ge2Pt
1.0
5.807 0.000 0.000
-2.904 4.907 0.222
0.000 -1.909 7.582
Ca Ge Pt
4 4 2
direct
0.523 0.295 0.147 Ca
0.227 0.705 0.353 Ca
0.477 0.705 0.853 Ca
0.773 0.295 0.647 Ca
0.735 0.739 0.499 Ge
0.996 0.261 0.001 Ge
0.265 0.261 0.501 Ge
0.004 0.739 0.999 Ge
0.876 0.000 0.250 Pt
0.124 0.000 0.750 Pt
```

=====

(5)
DFT (PBE) results for a relaxed structure of CaGe3Pt.

Summary:
Theoretical density, g/cm³: 7.35
Energy of formation, eV per atom: -0.512
Uncorrected energy, eV per atom: -4.8909
Calculated volume, Å³ per cell: 204.83
Crystal system: orthorhombic

The structure in POSCAR format:
```
CaGe3Pt
1.0
-3.669 -4.187 1.975
4.048 -3.940 -0.832
2.028 0.890 5.655
Ca Ge Pt
2 6 2
direct
0.442 0.357 0.701 Ca
0.942 0.996 0.201 Ca
0.346 0.281 0.201 Ge
0.469 0.883 0.959 Ge
0.969 0.470 0.459 Ge
0.846 0.071 0.701 Ge
0.969 0.470 0.942 Ge
0.469 0.883 0.442 Ge
0.152 0.782 0.701 Pt
0.652 0.571 0.201 Pt
```

=====

(6)
DFT (PBE) results for a relaxed structure of CaGePt3.

Summary:
Theoretical density, g/cm³: 12.66
Energy of formation, eV per atom: -0.737
Relative energy among the computed polymorphs, kcal/mol of atoms: 0.00
Uncorrected energy, eV per atom: -5.6856
Calculated volume, Å³ per cell: 183.11
Crystal system: monoclinic

The structure in POSCAR format:
```
CaGePt3
1.0
5.351 0.047 0.000
-0.534 6.065 0.000
0.000 0.000 5.638
Ca Ge Pt
2 2 6
direct
0.173 0.659 0.750 Ca
0.827 0.341 0.250 Ca
0.909 0.132 0.750 Ge
0.091 0.868 0.250 Ge
0.692 0.840 0.004 Pt
0.308 0.160 0.504 Pt
0.345 0.553 0.250 Pt
0.308 0.160 0.996 Pt
0.655 0.447 0.750 Pt
0.692 0.840 0.496 Pt
```

=====

(7)
DFT (PBE) results for a relaxed structure of Ca2Ge3Pt2.

Summary:
Theoretical density, g/cm³: 8.16
Energy of formation, eV per atom: -0.689
Relative energy among the computed polymorphs, kcal/mol of atoms: 1.20
Uncorrected energy, eV per atom: -4.9661
Calculated volume, Å³ per cell: 140.01
Crystal system: monoclinic

The structure in POSCAR format:
```
Ca2Ge3Pt2
1.0
4.276 0.000 0.000
-2.138 5.255 -0.240
0.000 -2.723 6.357
Ca Ge Pt
2 3 2
direct
0.847 0.695 0.220 Ca
0.153 0.305 0.780 Ca
0.500 0.000 0.000 Ge
0.620 0.240 0.448 Ge
0.380 0.760 0.552 Ge
0.868 0.737 0.772 Pt
0.132 0.263 0.228 Pt
```

=====

(8)
DFT (PBE) results for a relaxed structure of CaGePt3.

Summary:
Theoretical density, g/cm³: 10.94
Energy of formation, eV per atom: -0.312
Relative energy among the computed polymorphs, kcal/mol of atoms: 9.80
Uncorrected energy, eV per atom: -5.2606
Calculated volume, Å³ per cell: 105.96
Crystal system: cubic

The structure in POSCAR format:
```
CaGePt3
1.0
4.732 0.000 0.000
0.000 4.732 0.000
0.000 0.000 4.732
Ge Ca Pt
1 1 3
direct
0.000 0.000 0.000 Ge
0.500 0.500 0.500 Ca
0.000 0.500 0.000 Pt
0.000 0.000 0.500 Pt
0.500 0.000 0.000 Pt
```

=====

Q: Which value of uncorrected energy does entry 2 give?
A: -4.6224 eV per atom